Entry from Alexandria: crystalline SnCl3O at its relaxed geometry (PBE).

POSCAR file:
```
SnCl3O
1.0
5.201 0.000 0.000
0.000 5.201 0.000
0.000 0.000 5.201
Sn O Cl
1 1 3
Cartesian
0.000 0.000 0.000
2.601 2.601 2.601
0.000 2.601 0.000
0.000 0.000 2.601
2.601 0.000 0.000
```

Calculated values
Formation energy without anion corrections, meV per atom: -9.5
Electronic total energy, eV/atom: -2.91
DOS(E_F), states/eV/f.u.: 10.44

***

Entry from Alexandria: crystalline MnGa6Ni12 at its relaxed geometry (PBE).

POSCAR file:
```
MnGa6Ni12
1.0
-2.249 -2.138 5.900
2.383 -5.390 -3.115
5.288 3.833 1.334
Mn Ga Ni
1 6 12
Cartesian
0.000 0.000 0.000
0.606 -1.955 3.657
3.772 0.554 1.739
2.552 -3.321 -0.131
1.649 -4.248 2.380
4.816 -1.740 0.462
2.870 -0.374 4.250
0.927 -0.595 5.531
2.905 -2.852 4.016
4.697 -1.433 2.930
1.415 -0.069 2.246
0.725 -2.262 1.189
2.517 -0.842 0.103
5.614 0.452 0.301
1.592 -5.399 0.346
4.495 -3.100 -1.412
-0.192 -4.147 3.818
3.830 1.705 3.773
4.006 -3.626 1.873
```

Calculated values
Electronic total energy, eV/atom: -5.15
Calculated formation energy, eV per atom: -0.0618
DOS(E_F), states/eV/f.u.: 11.02

***

Entry from Alexandria: crystalline LaTeIr2 at its relaxed geometry (PBE).

POSCAR file:
```
LaTeIr2
1.0
-1.430 -2.730 3.702
2.275 -1.307 4.039
-1.682 3.285 4.621
Ir La Te
2 1 1
Cartesian
-1.501 2.876 4.355
-0.902 0.062 9.642
-0.532 -0.093 6.231
-0.003 -0.689 2.936
```

Calculated values
Formation energy without anion corrections, meV per atom: -461.3
Electronic total energy, eV/atom: -6.91
DOS(E_F), states/eV/f.u.: 2.21

***

Entry from Alexandria: crystalline FeAsIr2 at its relaxed geometry (PBE).

POSCAR file:
```
FeAsIr2
1.0
-0.725 0.104 4.528
-2.010 -2.190 3.493
3.696 -2.649 1.282
As Fe Ir
1 1 2
Cartesian
0.240 -1.184 2.326
0.721 -3.551 6.977
3.647 -2.641 1.326
0.530 -2.375 4.608
```

Calculated values
Electronic total energy, eV/atom: -7.63
Calculated formation energy, eV per atom: 0.0803
DOS(E_F), states/eV/f.u.: 3.55